Entry 1:
# Re2W

A relaxed Re2W crystal (PBE, Alexandria via LeMat-Bulk).

M_tot	0.00	μB/atom
V	15.49	Å³ per atom
energy relative to the lowest polymorph listed for this composition	0.027	eV per atom
density	19.88	Mg/m³
final energy	-12.470	eV per atom

Cell: 10.1723 2.8445 6.7457 Å, 90.00 107.77 90.00°
Closest atoms and distances in Å follow each position.
Fractional positions:
Re: 0.0373 0.0000 0.2920  6 Re 2.71-2.84, 5 W 2.72-2.80
Re: 0.1396 0.5000 0.0307  9 Re 2.71-2.84, 3 W 2.80-2.83
Re: 0.3604 0.0000 0.9693  9 Re 2.71-2.84, 3 W 2.80-2.83
Re: 0.4627 0.5000 0.7080  6 Re 2.71-2.84, 5 W 2.72-2.80
Re: 0.5373 0.5000 0.2920  6 Re 2.71-2.84, 5 W 2.72-2.80
Re: 0.6396 0.0000 0.0307  9 Re 2.71-2.84, 3 W 2.80-2.83
Re: 0.8604 0.5000 0.9693  9 Re 2.71-2.84, 3 W 2.80-2.83
Re: 0.9627 0.0000 0.7080  6 Re 2.71-2.84, 5 W 2.72-2.80
W: 0.1772 0.5000 0.6362  8 Re 2.72-2.83, 4 W 2.84-3.04
W: 0.3228 0.0000 0.3638  8 Re 2.72-2.83, 4 W 2.84-3.04
W: 0.6772 0.0000 0.6362  8 Re 2.72-2.83, 4 W 2.84-3.04
W: 0.8228 0.5000 0.3638  8 Re 2.72-2.83, 4 W 2.84-3.04

Entry 2:
# Re3W

A relaxed Re3W crystal (PBE, Alexandria via LeMat-Bulk).

M_tot	0.00	μB/atom
V	15.33	Å³ per atom
energy relative to the lowest polymorph listed for this composition	0.021	eV per atom
density	20.10	Mg/m³
final energy	-12.454	eV per atom

Cell: 3.9461 3.9461 15.7557 Å, 90.00 90.00 90.00°
Closest atoms and distances in Å follow each position.
Fractional positions:
Re: 0.0000 0.0000 0.1271  8 Re 2.76-2.81, 4 W 2.79
Re: 0.0000 0.0000 0.8729  8 Re 2.76-2.81, 4 W 2.79
Re: 0.0000 0.5000 0.0000  4 W 2.76, 8 Re 2.79-2.81
Re: 0.0000 0.5000 0.2500  8 Re 2.76-2.79, 4 W 2.81
Re: 0.0000 0.5000 0.5000  4 W 2.76, 8 Re 2.79-2.81
Re: 0.0000 0.5000 0.7500  8 Re 2.76-2.79, 4 W 2.81
Re: 0.5000 0.0000 0.0000  4 W 2.76, 8 Re 2.79-2.81
Re: 0.5000 0.0000 0.2500  8 Re 2.76-2.79, 4 W 2.81
Re: 0.5000 0.0000 0.5000  4 W 2.76, 8 Re 2.79-2.81
Re: 0.5000 0.0000 0.7500  8 Re 2.76-2.79, 4 W 2.81
Re: 0.5000 0.5000 0.3729  8 Re 2.76-2.81, 4 W 2.79
Re: 0.5000 0.5000 0.6271  8 Re 2.76-2.81, 4 W 2.79
W: 0.0000 0.0000 0.3773  12 Re 2.76-2.81
W: 0.0000 0.0000 0.6227  12 Re 2.76-2.81
W: 0.5000 0.5000 0.1227  12 Re 2.76-2.81
W: 0.5000 0.5000 0.8773  12 Re 2.76-2.81

Entry 3:
# Re2W

A relaxed Re2W crystal (PBE, Alexandria via LeMat-Bulk).

M_tot	0.00	μB/atom
V	15.46	Å³ per atom
energy relative to the lowest polymorph listed for this composition	0.037	eV per atom
density	19.92	Mg/m³
final energy	-12.460	eV per atom

Cell: 2.8013 3.9383 8.4082 Å, 90.00 90.00 90.00°
Closest atoms and distances in Å follow each position.
Fractional positions:
Re: 0.0000 0.0000 0.1701  7 Re 2.77-2.86, 5 W 2.77-2.81
Re: 0.0000 0.0000 0.8299  7 Re 2.77-2.86, 5 W 2.77-2.81
Re: 0.5000 0.5000 0.3299  7 Re 2.77-2.86, 5 W 2.77-2.81
Re: 0.5000 0.5000 0.6701  7 Re 2.77-2.86, 5 W 2.77-2.81
W: 0.0000 0.0000 0.5000  10 Re 2.77-2.81, 2 W 2.80
W: 0.5000 0.5000 0.0000  10 Re 2.77-2.81, 2 W 2.80

Entry 4:
# Re2W

A relaxed Re2W crystal (PBE, Alexandria via LeMat-Bulk).

M_tot	0.00	μB/atom
V	16.39	Å³ per atom
energy relative to the lowest polymorph listed for this composition	0.385	eV per atom
density	18.79	Mg/m³
final energy	-12.112	eV per atom

Cell: 6.2966 6.2966 4.9597 Å, 90.00 90.00 90.00°
Closest atoms and distances in Å follow each position.
Fractional positions:
Re: 0.1397 0.3603 0.0000  1 Re 2.49, 4 W 2.73
Re: 0.1397 0.6397 0.5000  1 Re 2.49, 4 W 2.73
Re: 0.3603 0.1397 0.5000  1 Re 2.49, 4 W 2.73
Re: 0.3603 0.8603 0.0000  1 Re 2.49, 4 W 2.73
Re: 0.6397 0.1397 0.0000  1 Re 2.49, 4 W 2.73
Re: 0.6397 0.8603 0.5000  1 Re 2.49, 4 W 2.73
Re: 0.8603 0.3603 0.5000  1 Re 2.49, 4 W 2.73
Re: 0.8603 0.6397 0.0000  1 Re 2.49, 4 W 2.73
W: 0.0000 0.0000 0.2500  2 W 2.48, 8 Re 2.73
W: 0.0000 0.0000 0.7500  2 W 2.48, 8 Re 2.73
W: 0.5000 0.5000 0.2500  2 W 2.48, 8 Re 2.73
W: 0.5000 0.5000 0.7500  2 W 2.48, 8 Re 2.73